1.
Here is a geometry-optimized BaCo2Te structure from the Alexandria database. Energies are from PBE.

The crystal system is tetragonal. The density of states at the Fermi level comes out at 13.55 states/eV/cell. As for the total energy: -4.836 eV per atom.

The space group is I4_1/amd (No. 141, origin choice 2) and the conventional cell measures 4.991, 4.991 and 16.882 Å, with angles of 90.00, 90.00 and 90.00 degrees. The distinct sites, in fractional coordinates, are Ba at (0.000, 0.250, 0.375), Co at (0.000, 0.000, 0.000) and Te at (0.000, 0.250, 0.875).

---

2.
Here is a geometry-optimized InCF2 structure from the Alexandria database. Energies are from PBE.

The crystal system is tetragonal. The density of states at the Fermi level comes out at 5.74 states/eV/cell. The energy above the most stable polymorph in this dataset comes out at 0 meV/atom. As for the total energy: -3.936 eV per atom.

The space group is I-42d (No. 122) and the conventional cell measures 3.544, 3.544 and 15.257 Å, with angles of 90.00, 90.00 and 90.00 degrees. The distinct sites, in fractional coordinates, are In at (0.000, 0.000, 0.000), C at (0.000, 0.000, 0.500) and F at (0.248, 0.250, 0.625).

---

3.
Here is a geometry-optimized Sc2AgRu structure from the Alexandria database. Energies are from PBE.

The crystal system is trigonal. The density of states at the Fermi level comes out at 7.64 states/eV/cell. The formation energy from the elements is -0.02 eV per atom. As for the total energy: -6.218 eV per atom.

The space group is R-3m (No. 166, hexagonal axes) and the conventional cell measures 3.1318, 3.1318 and 28.5842 Å, with angles of 90.00, 90.00 and 120.00 degrees. The distinct sites, in fractional coordinates, are Sc at (0.0000, 0.0000, 0.0988), Ag at (0.0000, 0.0000, 0.0000) and Ru at (0.0000, 0.0000, 0.5000).

---

4.
Here is a geometry-optimized LaBeI3 structure from the Alexandria database. Energies are from PBE.

The crystal system is cubic. The density of states at the Fermi level comes out at 6.27 states/eV/cell. The energy above the most stable polymorph in this dataset comes out at 107 meV/atom. As for the total energy: -2.973 eV per atom.

The space group is Pm-3m (No. 221) and the conventional cell measures 5.307, 5.307 and 5.307 Å, with angles of 90.00, 90.00 and 90.00 degrees. The distinct sites, in fractional coordinates, are La at (0.000, 0.000, 0.000), Be at (0.500, 0.500, 0.500) and I at (0.000, 0.500, 0.500).

---

5.
Here is a geometry-optimized ScCrSeN2 structure from the Alexandria database. Energies are from PBE.

The crystal system is tetragonal. The density of states at the Fermi level comes out at 3.07 states/eV/cell. The energy above the most stable polymorph in this dataset comes out at 810 meV/atom. As for the total energy: -6.605 eV per atom.

The space group is P4/mmm (No. 123) and the conventional cell measures 4.109, 4.109 and 5.360 Å, with angles of 90.00, 90.00 and 90.00 degrees. The distinct sites, in fractional coordinates, are Sc at (0.000, 0.000, 0.000), Cr at (0.500, 0.500, 0.500), Se at (0.000, 0.000, 0.500) and N at (0.000, 0.500, 0.000).

---

6.
Here is a geometry-optimized MgSc5Pb6 structure from the Alexandria database. Energies are from PBE.

The crystal system is monoclinic. The density of states at the Fermi level comes out at 20.80 states/eV/cell. The formation energy from the elements is -0.28 eV per atom. As for the total energy: -4.902 eV per atom.

The space group is C2/m (No. 12) and the conventional cell measures 17.285, 4.639 and 8.537 Å, with angles of 90.00, 119.54 and 90.00 degrees. The distinct sites, in fractional coordinates, are Mg at (0.000, 0.000, 0.000), Sc at (0.000, 0.000, 0.500), Sc at (0.154, 0.500, 0.154), Sc at (0.166, 0.500, 0.666), Pb at (0.000, 0.500, 0.254), Pb at (0.169, 0.000, 0.420) and Pb at (0.169, 0.000, 0.918).

---

7.
Here is a geometry-optimized CdReP2 structure from the Alexandria database. Energies are from PBE.

The crystal system is monoclinic. The density of states at the Fermi level comes out at 3.86 states/eV/cell. The formation energy from the elements is -0.01 eV per atom. As for the total energy: -6.053 eV per atom.

The space group is Cm (No. 8) and the conventional cell measures 8.072, 3.094 and 6.346 Å, with angles of 90.00, 109.66 and 90.00 degrees. The distinct sites, in fractional coordinates, are Cd at (0.000, 0.000, 0.000), Re at (0.143, 0.500, 0.437), P at (0.198, 0.000, 0.738) and P at (0.340, 0.000, 0.380).

---

8.
Here is a geometry-optimized Hf2ZrIr2 structure from the Alexandria database. Energies are from PBE.

The crystal system is tetragonal. The density of states at the Fermi level comes out at 11.72 states/eV/cell. The formation energy from the elements is -0.70 eV per atom. The energy above the most stable polymorph in this dataset comes out at 0 meV/atom. As for the total energy: -9.939 eV per atom.

The space group is P4/mbm (No. 127) and the conventional cell measures 7.462, 7.462 and 3.462 Å, with angles of 90.00, 90.00 and 90.00 degrees. The distinct sites, in fractional coordinates, are Hf at (0.163, 0.337, 0.000), Zr at (0.000, 0.000, 0.500) and Ir at (0.136, 0.636, 0.500).